# PBE-GGA Hf3AlPd12, relaxed
# DOS(E_F) = 1.7 states/eV/cell
# Density = 12.05 g/cm³
# Spin magnetization = 0.00 Bohr magnetons per cell
# V = 253.6 Å³/cell
# E = -6.827 eV per atom
# Formation energy from the elements = -0.832 eV per atom
data_Hf3AlPd12
_chemical_formula_sum 'Hf3 Al1 Pd12'
_cell_length_a 3.9913
_cell_length_b 3.9913
_cell_length_c 15.9159
_cell_angle_alpha 90.00
_cell_angle_beta 90.00
_cell_angle_gamma 90.00
_space_group_name_H-M_alt 'P 1'
_space_group_IT_number 1
loop_
_space_group_symop_operation_xyz
'x,y,z'
loop_
_atom_site_label
_atom_site_type_symbol
_atom_site_fract_x
_atom_site_fract_y
_atom_site_fract_z
Hf1 Hf 0.0000 0.0000 0.0000
Hf2 Hf 0.0000 0.0000 0.2567
Hf3 Hf 0.0000 0.0000 0.7433
Al1 Al 0.0000 0.0000 0.5000
Pd1 Pd 0.0000 0.5000 0.1258
Pd2 Pd 0.0000 0.5000 0.3785
Pd3 Pd 0.0000 0.5000 0.6215
Pd4 Pd 0.0000 0.5000 0.8742
Pd5 Pd 0.5000 0.0000 0.1258
Pd6 Pd 0.5000 0.0000 0.3785
Pd7 Pd 0.5000 0.0000 0.6215
Pd8 Pd 0.5000 0.0000 0.8742
Pd9 Pd 0.5000 0.5000 0.0000
Pd10 Pd 0.5000 0.5000 0.2518
Pd11 Pd 0.5000 0.5000 0.5000
Pd12 Pd 0.5000 0.5000 0.7482